Below is a relaxed structure of Sb2AsPt, with properties calculated at the GGA-PBE level.

Geometry as CIF:
```
data_Sb2AsPt
_symmetry_space_group_name_H-M 'A m m 2'
_symmetry_Int_Tables_number 38
_symmetry_space_group_name_Hall 'A 2 -2'
_cell_length_a 3.952
_cell_length_b 5.558
_cell_length_c 8.273
_cell_angle_alpha 90.00
_cell_angle_beta 90.00
_cell_angle_gamma 90.00
loop_
_atom_site_label
_atom_site_type_symbol
_atom_site_fract_x
_atom_site_fract_y
_atom_site_fract_z
Sb1 Sb 0.000 0.000 0.000
Sb2 Sb 0.500 0.000 0.298
As1 As 0.000 0.000 0.575
Pt1 Pt 0.500 0.000 0.778
```

Properties
Spin magnetization ... 0.00 μB/f.u.
Formation energy without anion corrections ... -66.2 kJ/mol of formula units

---

Below is a relaxed structure of LaY2Al2, with properties calculated at the GGA-PBE level.

Geometry as CIF:
```
data_LaY2Al2
_symmetry_space_group_name_H-M 'I 4/m m m'
_symmetry_Int_Tables_number 139
_symmetry_space_group_name_Hall '-I 4 2'
_cell_length_a 4.845
_cell_length_b 4.845
_cell_length_c 12.684
_cell_angle_alpha 90.00
_cell_angle_beta 90.00
_cell_angle_gamma 90.00
loop_
_atom_site_label
_atom_site_type_symbol
_atom_site_fract_x
_atom_site_fract_y
_atom_site_fract_z
La1 La 0.000 0.000 0.000
Y1 Y 0.000 0.000 0.372
Al1 Al 0.000 0.500 0.250
```

Properties
Spin magnetization ... 0.00 μB/f.u.
Energy above the lowest structure with this stoichiometry ... 1.78 eV per formula unit
Energy of formation from the pure elements ... 0.053 eV per atom